Entry 1:
VASP calculation (PBE-GGA) on a geometry-optimized DyBe9Os2 structure.

Values from the calculation:
Spin magnetization ... 0.0 μB per formula unit
Energy relative to the elements ... -0.257 eV/atom
N(E_F) ... 6.81 states/eV per cell

a = 4.4517 Å, b = 4.4517 Å, c = 14.3206 Å
α = 90.00°, β = 90.00°, γ = 120.00°
Closest atoms and distances in Å follow each position.
Fractional coordinates of all 24 atoms:
Dy: 0.3333 0.6667 0.2500  6 Be 2.57
Dy: 0.6667 0.3333 0.7500  6 Be 2.57
Be: 0.0000 0.0000 0.0000  6 Be 2.13
Be: 0.0000 0.0000 0.2500  9 Be 2.31-2.57, 3 Dy 2.57
Be: 0.0000 0.0000 0.5000  6 Be 2.13
Be: 0.0000 0.0000 0.7500  9 Be 2.31-2.57, 3 Dy 2.57
Be: 0.1696 0.3391 0.6172  7 Be 2.13-2.31
Be: 0.1696 0.3391 0.8828  7 Be 2.13-2.31
Be: 0.1696 0.8304 0.6172  7 Be 2.13-2.31
Be: 0.1696 0.8304 0.8828  7 Be 2.13-2.31
Be: 0.3333 0.6667 0.7500  6 Be 2.28
Be: 0.3391 0.1696 0.1172  7 Be 2.13-2.31
Be: 0.3391 0.1696 0.3828  7 Be 2.13-2.31
Be: 0.6609 0.8304 0.6172  7 Be 2.13-2.31
Be: 0.6609 0.8304 0.8828  7 Be 2.13-2.31
Be: 0.6667 0.3333 0.2500  6 Be 2.28
Be: 0.8304 0.1696 0.1172  7 Be 2.13-2.31
Be: 0.8304 0.1696 0.3828  7 Be 2.13-2.31
Be: 0.8304 0.6609 0.1172  7 Be 2.13-2.31
Be: 0.8304 0.6609 0.3828  7 Be 2.13-2.31
Os: 0.3333 0.6667 0.0342  12 Be 2.51-2.62, 3 Os 2.75
Os: 0.3333 0.6667 0.4658  12 Be 2.51-2.62, 3 Os 2.75
Os: 0.6667 0.3333 0.5342  12 Be 2.51-2.62, 3 Os 2.75
Os: 0.6667 0.3333 0.9658  12 Be 2.51-2.62, 3 Os 2.75

---

Entry 2:
VASP calculation (PBE-GGA) on a geometry-optimized Dy2BeOs structure.

Values from the calculation:
Spin magnetization ... 0.0 μB per formula unit
Energy relative to the elements ... 0.773 eV/atom
N(E_F) ... 3.93 states/eV per cell

a = 10.2608 Å, b = 10.2608 Å, c = 10.2608 Å
α = 18.52°, β = 18.52°, γ = 18.52°
Closest atoms and distances in Å follow each position.
Fractional coordinates of all 4 atoms:
Dy: 0.0977 0.0977 0.0977  3 Os 2.83, 1 Be 2.96
Dy: 0.9023 0.9023 0.9023  3 Os 2.83, 1 Be 2.96
Be: 0.0000 0.0000 0.0000  2 Dy 2.96, 6 Be 3.30
Os: 0.5000 0.5000 0.5000  6 Dy 2.83

---

Entry 3:
VASP calculation (PBE-GGA) on a geometry-optimized DyBe2Os structure.

Values from the calculation:
Spin magnetization ... 0.0 μB per formula unit
Energy relative to the elements ... -0.177 eV/atom
N(E_F) ... 3.41 states/eV per cell

a = 5.2621 Å, b = 5.2621 Å, c = 5.2621 Å
α = 43.39°, β = 43.39°, γ = 43.39°
Closest atoms and distances in Å follow each position.
Fractional coordinates of all 4 atoms:
Dy: 0.0000 0.0000 0.0000  8 Be 2.80-2.98
Be: 0.1960 0.1960 0.1960  3 Os 2.28, 3 Be 2.40
Be: 0.8040 0.8040 0.8040  3 Os 2.28, 3 Be 2.40
Os: 0.5000 0.5000 0.5000  6 Be 2.28

---

Entry 4:
VASP calculation (PBE-GGA) on a geometry-optimized DyBe2SiOs structure.

Values from the calculation:
Spin magnetization ... 0.0 μB per formula unit
Formation energy without anion corrections ... -0.3401 eV/atom
N(E_F) ... 3.53 states/eV per cell

a = 5.7537 Å, b = 5.7537 Å, c = 5.7537 Å
α = 141.29°, β = 141.21°, γ = 55.96°
Closest atoms and distances in Å follow each position.
Fractional coordinates of all 5 atoms:
Dy: 0.0000 0.0000 0.0000  8 Be 2.95-3.23, 4 Si 2.97, 4 Os 3.09-3.27
Be: 0.6165 0.6165 0.0000  2 Os 2.28, 2 Be 2.30, 1 Si 2.43
Be: 0.7430 0.2430 0.5000  2 Be 2.30, 2 Si 2.35
Si: 0.3776 0.3776 0.0000  3 Be 2.35-2.43, 2 Os 2.37
Os: 0.2390 0.7390 0.5000  2 Be 2.28, 2 Si 2.37

---

Entry 5:
VASP calculation (PBE-GGA) on a geometry-optimized Dy2BeP structure.

Values from the calculation:
Spin magnetization ... 0.3 μB per formula unit
Energy relative to the elements ... 0.018 eV/atom
N(E_F) ... 5.14 states/eV per cell

a = 9.2883 Å, b = 9.2883 Å, c = 9.2883 Å
α = 23.69°, β = 23.69°, γ = 23.69°
Closest atoms and distances in Å follow each position.
Fractional coordinates of all 4 atoms:
Dy: 0.1083 0.1083 0.1083  3 P 2.71, 1 Be 2.93
Dy: 0.8917 0.8917 0.8917  3 P 2.71, 1 Be 2.93
Be: 0.0000 0.0000 0.0000  2 Dy 2.93
P: 0.5000 0.5000 0.5000  6 Dy 2.71

---

Entry 6:
VASP calculation (PBE-GGA) on a geometry-optimized Dy2PaBe structure.

Values from the calculation:
Spin magnetization ... 0.0 μB per formula unit
Energy relative to the elements ... 0.477 eV/atom
N(E_F) ... 6.03 states/eV per cell

a = 10.9206 Å, b = 10.9206 Å, c = 10.9206 Å
α = 17.20°, β = 17.20°, γ = 17.20°
Closest atoms and distances in Å follow each position.
Fractional coordinates of all 4 atoms:
Dy: 0.1022 0.1022 0.1022  3 Be 2.81
Dy: 0.8978 0.8978 0.8978  3 Be 2.81
Pa: 0.0000 0.0000 0.0000  6 Pa 3.27, 2 Dy 3.30
Be: 0.5000 0.5000 0.5000  6 Dy 2.81

---

Entry 7:
VASP calculation (PBE-GGA) on a geometry-optimized DyPaBe4 structure.

Values from the calculation:
Spin magnetization ... 0.0 μB per formula unit
Energy relative to the elements ... 0.164 eV/atom
N(E_F) ... 4.49 states/eV per cell

a = 4.9962 Å, b = 4.9962 Å, c = 4.9962 Å
α = 60.00°, β = 60.00°, γ = 60.00°
Closest atoms and distances in Å follow each position.
Fractional coordinates of all 6 atoms:
Dy: 0.0000 0.0000 0.0000  12 Be 2.93, 4 Pa 3.06
Pa: 0.7500 0.7500 0.7500  12 Be 2.93, 4 Dy 3.06
Be: 0.3765 0.3765 0.3765  6 Be 2.47-2.53
Be: 0.3765 0.3765 0.8705  6 Be 2.47-2.53
Be: 0.3765 0.8705 0.3765  6 Be 2.47-2.53
Be: 0.8705 0.3765 0.3765  6 Be 2.47-2.53

---

Entry 8:
VASP calculation (PBE-GGA) on a geometry-optimized DyPaBe17 structure.

Values from the calculation:
Spin magnetization ... 0.0 μB per formula unit
Energy relative to the elements ... -0.109 eV/atom
N(E_F) ... 5.42 states/eV per cell

a = 5.8463 Å, b = 5.8463 Å, c = 5.8463 Å
α = 82.79°, β = 82.79°, γ = 82.79°
Closest atoms and distances in Å follow each position.
Fractional coordinates of all 19 atoms:
Dy: 0.0000 0.0000 0.0000  19 Be 2.77-2.98
Pa: 0.6789 0.6789 0.6789  19 Be 2.77-2.96
Be: 0.0019 0.0019 0.4946  7 Be 2.22-2.37
Be: 0.0019 0.4946 0.0019  7 Be 2.22-2.37
Be: 0.0608 0.3389 0.6161  7 Be 2.14-2.39
Be: 0.0608 0.6161 0.3389  7 Be 2.14-2.39
Be: 0.1816 0.6767 0.6767  7 Be 2.21-2.38
Be: 0.2450 0.2450 0.2450  13 Be 2.14-2.39
Be: 0.3389 0.0608 0.6161  7 Be 2.14-2.39
Be: 0.3389 0.6161 0.0608  7 Be 2.14-2.39
Be: 0.3408 0.3408 0.8373  10 Be 2.20-2.39
Be: 0.3408 0.8373 0.3408  10 Be 2.20-2.39
Be: 0.4343 0.4343 0.4343  7 Be 2.14-2.38
Be: 0.4946 0.0019 0.0019  7 Be 2.22-2.37
Be: 0.6161 0.0608 0.3389  7 Be 2.14-2.39
Be: 0.6161 0.3389 0.0608  7 Be 2.14-2.39
Be: 0.6767 0.1816 0.6767  7 Be 2.21-2.38
Be: 0.6767 0.6767 0.1816  7 Be 2.21-2.38
Be: 0.8373 0.3408 0.3408  10 Be 2.20-2.39

---

Entry 9:
VASP calculation (PBE-GGA) on a geometry-optimized DyPaBe structure.

Values from the calculation:
Spin magnetization ... 0.0 μB per formula unit
Energy relative to the elements ... 0.228 eV/atom
N(E_F) ... 20.50 states/eV per cell

a = 10.8190 Å, b = 10.1662 Å, c = 5.4555 Å
α = 81.67°, β = 68.40°, γ = 29.93°
Closest atoms and distances in Å follow each position.
Fractional coordinates of all 12 atoms:
Dy: 0.0486 0.7014 0.0486  4 Be 2.92, 3 Dy 3.17-3.24
Dy: 0.2986 0.9514 0.2986  4 Be 2.92, 3 Dy 3.17-3.24
Dy: 0.7014 0.0486 0.7014  4 Be 2.92, 3 Dy 3.17-3.24
Dy: 0.9514 0.2986 0.9514  4 Be 2.92, 3 Dy 3.17-3.24
Pa: 0.2914 0.2914 0.4586  4 Be 2.85-2.94, 2 Pa 3.17
Pa: 0.4586 0.4586 0.2914  4 Be 2.85-2.94, 2 Pa 3.17
Pa: 0.5414 0.5414 0.7086  4 Be 2.85-2.94, 2 Pa 3.17
Pa: 0.7086 0.7086 0.5414  4 Be 2.85-2.94, 2 Pa 3.17
Be: 0.0005 0.0005 0.2495  2 Be 2.73, 4 Pa 2.85-2.94, 4 Dy 2.92
Be: 0.2495 0.2495 0.0005  2 Be 2.73, 4 Pa 2.85-2.94, 4 Dy 2.92
Be: 0.7505 0.7505 0.9995  2 Be 2.73, 4 Pa 2.85-2.94, 4 Dy 2.92
Be: 0.9995 0.9995 0.7505  2 Be 2.73, 4 Pa 2.85-2.94, 4 Dy 2.92

---

Entry 10:
VASP calculation (PBE-GGA) on a geometry-optimized DyBePd2 structure.

Values from the calculation:
E above lowest polymorph ... 0.087 eV/atom
Spin magnetization ... 0.0 μB per formula unit
Energy relative to the elements ... -0.649 eV/atom
N(E_F) ... 1.85 states/eV per cell

a = 5.3624 Å, b = 5.3624 Å, c = 5.3624 Å
α = 45.11°, β = 45.11°, γ = 45.11°
Closest atoms and distances in Å follow each position.
Fractional coordinates of all 4 atoms:
Dy: 0.0000 0.0000 0.0000  8 Pd 2.95-3.06
Be: 0.5000 0.5000 0.5000  6 Pd 2.46
Pd: 0.2123 0.2123 0.2123  3 Be 2.46, 3 Pd 2.71
Pd: 0.7877 0.7877 0.7877  3 Be 2.46, 3 Pd 2.71